Below is ThHgN after structural relaxation, with properties calculated at the PBE level.

Values from the calculation:
Total moment = 0.01 μB/f.u.

a = 4.104 Å, b = 4.104 Å, c = 7.961 Å
α = 90.00°, β = 90.00°, γ = 90.00°
Space group P4/nmm (No. 129, origin choice 2)
One atom of each set of equivalent atoms:
Th: 0.250 0.250 0.142 x2
Hg: 0.250 0.250 0.595 x2
N: 0.250 0.750 0.000 x2


Below is Zr4TlHgN2 after structural relaxation, with properties calculated at the PBE level.

Values from the calculation:
Total moment = 0.00 μB/f.u.

a = 3.3491 Å, b = 3.3491 Å, c = 14.6577 Å
α = 90.00°, β = 90.00°, γ = 120.00°
Space group P-6m2 (No. 187)
One atom of each set of equivalent atoms:
Zr: 0.0000 0.0000 0.1649 x2
Zr: 0.3333 0.6667 0.3302 x2
Tl: 0.0000 0.0000 0.5000 x1
Hg: 0.3333 0.6667 0.0000 x1
N: 0.6667 0.3333 0.2468 x2


Below is NaHg2 after structural relaxation, with properties calculated at the PBE level.

a = 8.631 Å, b = 8.631 Å, c = 8.631 Å
α = 90.00°, β = 90.00°, γ = 90.00°
Space group Fd-3m (No. 227, origin choice 2)
One atom of each set of equivalent atoms:
Na: 0.125 0.125 0.125 x8
Hg: 0.000 0.000 0.500 x16


Below is NaHg2 after structural relaxation, with properties calculated at the PBE level.

a = 5.1595 Å, b = 5.1595 Å, c = 3.2775 Å
α = 90.00°, β = 90.00°, γ = 120.00°
Space group P6/mmm (No. 191)
One atom of each set of equivalent atoms:
Na: 0.0000 0.0000 0.0000 x1
Hg: 0.3333 0.6667 0.5000 x2


Below is Na8Hg3 after structural relaxation, with properties calculated at the PBE level.

a = 9.1162 Å, b = 9.1162 Å, c = 51.7505 Å
α = 90.00°, β = 90.00°, γ = 120.00°
Space group R-3c (No. 167, hexagonal axes)
One atom of each set of equivalent atoms:
Na: 0.0000 0.0000 0.0618 x12
Na: 0.0000 0.0000 0.2200 x12
Na: 0.0066 0.2580 0.1146 x36
Na: 0.0085 0.3651 0.8516 x36
Hg: 0.0000 0.0000 0.0000 x6
Hg: 0.0000 0.0000 0.1577 x12
Hg: 0.0000 0.3153 0.2500 x18


Below is NaHg3 after structural relaxation, with properties calculated at the PBE level.

a = 4.879 Å, b = 4.879 Å, c = 8.642 Å
α = 90.00°, β = 90.00°, γ = 90.00°
Space group I4/mmm (No. 139)
One atom of each set of equivalent atoms:
Na: 0.000 0.000 0.000 x2
Hg: 0.000 0.000 0.500 x2
Hg: 0.000 0.500 0.250 x4


Below is NaNbNiHg after structural relaxation, with properties calculated at the PBE level.

Values from the calculation:
Polymorph energy (0 for the lowest one) = 0 meV per atom
Total moment = 0.00 μB/f.u.

a = 6.390 Å, b = 6.390 Å, c = 6.390 Å
α = 90.00°, β = 90.00°, γ = 90.00°
Space group F-43m (No. 216)
One atom of each set of equivalent atoms:
Na: 0.000 0.000 0.000 x4
Nb: 0.250 0.250 0.750 x4
Ni: 0.000 0.000 0.500 x4
Hg: 0.250 0.250 0.250 x4


Below is NaNbNiHg after structural relaxation, with properties calculated at the PBE level.

Values from the calculation:
Polymorph energy (0 for the lowest one) = 32 meV per atom
Total moment = 0.00 μB/f.u.

a = 6.566 Å, b = 6.566 Å, c = 6.566 Å
α = 90.00°, β = 90.00°, γ = 90.00°
Space group F-43m (No. 216)
One atom of each set of equivalent atoms:
Na: 0.000 0.000 0.000 x4
Nb: 0.000 0.000 0.500 x4
Ni: 0.250 0.250 0.250 x4
Hg: 0.250 0.250 0.750 x4


Below is NaNbHgPd after structural relaxation, with properties calculated at the PBE level.

Values from the calculation:
Polymorph energy (0 for the lowest one) = 20 meV per atom
Total moment = 0.00 μB/f.u.

a = 6.575 Å, b = 6.575 Å, c = 6.575 Å
α = 90.00°, β = 90.00°, γ = 90.00°
Space group F-43m (No. 216)
One atom of each set of equivalent atoms:
Na: 0.000 0.000 0.000 x4
Nb: 0.250 0.250 0.250 x4
Hg: 0.250 0.250 0.750 x4
Pd: 0.000 0.000 0.500 x4


Below is NaNbHgPd after structural relaxation, with properties calculated at the PBE level.

Values from the calculation:
Polymorph energy (0 for the lowest one) = 0 meV per atom
Total moment = 0.00 μB/f.u.

a = 6.683 Å, b = 6.683 Å, c = 6.683 Å
α = 90.00°, β = 90.00°, γ = 90.00°
Space group F-43m (No. 216)
One atom of each set of equivalent atoms:
Na: 0.000 0.000 0.000 x4
Nb: 0.000 0.000 0.500 x4
Hg: 0.250 0.250 0.250 x4
Pd: 0.250 0.250 0.750 x4


Below is NaNbHgPt after structural relaxation, with properties calculated at the PBE level.

Values from the calculation:
Polymorph energy (0 for the lowest one) = 0 meV per atom
Total moment = 0.01 μB/f.u.

a = 6.568 Å, b = 6.568 Å, c = 6.568 Å
α = 90.00°, β = 90.00°, γ = 90.00°
Space group F-43m (No. 216)
One atom of each set of equivalent atoms:
Na: 0.000 0.000 0.000 x4
Nb: 0.250 0.250 0.750 x4
Hg: 0.250 0.250 0.250 x4
Pt: 0.000 0.000 0.500 x4


Below is NaNbHgPt after structural relaxation, with properties calculated at the PBE level.

Values from the calculation:
Polymorph energy (0 for the lowest one) = 22 meV per atom
Total moment = 0.01 μB/f.u.

a = 6.664 Å, b = 6.664 Å, c = 6.664 Å
α = 90.00°, β = 90.00°, γ = 90.00°
Space group F-43m (No. 216)
One atom of each set of equivalent atoms:
Na: 0.000 0.000 0.000 x4
Nb: 0.000 0.000 0.500 x4
Hg: 0.250 0.250 0.750 x4
Pt: 0.250 0.250 0.250 x4


What electronic total energy values result from the calculations? In sequence: -39.06 -61.44 -18.95 -2.62 -159.93 -6.00 -62.36 -61.85 -63.66 -63.98 -70.02 -69.66 eV per cell.